1.
FeBiPO2 after structural relaxation, computed with GGA-PBEsol.

Cell lengths 4.0667, 4.0667, 5.4613 Å; angles 90.00, 90.00, 90.00 degrees
Atoms (fractional coordinates):
Fe: 0.0000 0.0000 0.0000
Bi: 0.5000 0.5000 0.5000
P: 0.5000 0.5000 0.0000
O: 0.0000 0.5000 0.5000
O: 0.5000 0.0000 0.5000

## Properties
uncorrected energy = -27.3 eV per cell
formation energy without anion corrections = 43 kJ per mole of atoms



2.
SrTiFeBiO6 after structural relaxation, computed with GGA-PBEsol.

Cell lengths 5.4466, 5.4466, 5.4466 Å; angles 59.77, 59.77, 59.77 degrees
Atoms (fractional coordinates):
Sr: 0.0000 0.0000 0.0000
Ti: 0.7515 0.7515 0.7515
Fe: 0.2414 0.2414 0.2414
Bi: 0.5222 0.5222 0.5222
O: 0.0322 0.4881 0.9589
O: 0.4581 0.9758 0.5169
O: 0.4881 0.9589 0.0322
O: 0.5169 0.4581 0.9758
O: 0.9589 0.0322 0.4881
O: 0.9758 0.5169 0.4581

## Properties
uncorrected energy = -76.6 eV per cell
formation energy without anion corrections = -209 kJ per mole of atoms



3.
TiFeBi2O6 after structural relaxation, computed with GGA-PBEsol.

Cell lengths 5.5737, 5.5737, 5.5737 Å; angles 60.22, 60.22, 60.22 degrees
Atoms (fractional coordinates):
Ti: 0.0000 0.0000 0.0000
Fe: 0.5006 0.5006 0.5006
Bi: 0.2733 0.2733 0.2733
Bi: 0.7745 0.7745 0.7745
O: 0.1620 0.3085 0.7289
O: 0.2059 0.8300 0.6643
O: 0.3085 0.7289 0.1620
O: 0.6643 0.2059 0.8300
O: 0.7289 0.1620 0.3085
O: 0.8300 0.6643 0.2059

## Properties
uncorrected energy = -74.4 eV per cell
formation energy without anion corrections = -165 kJ per mole of atoms



4.
Ti3FeBi5O15 after structural relaxation, computed with GGA-PBEsol.

Cell lengths 3.8556, 3.8556, 20.4294 Å; angles 95.27, 95.27, 88.88 degrees
Atoms (fractional coordinates):
Ti: 0.0000 0.0000 0.0000
Ti: 0.0968 0.0968 0.2064
Ti: 0.3110 0.3110 0.6046
Fe: 0.1775 0.1775 0.3985
Bi: 0.5113 0.5113 0.8647
Bi: 0.6033 0.6033 0.1003
Bi: 0.6958 0.6958 0.3142
Bi: 0.8187 0.8187 0.5048
Bi: 0.9518 0.9518 0.7394
O: 0.0096 0.0096 0.1110
O: 0.0428 0.5696 0.2067
O: 0.1018 0.1018 0.3030
O: 0.1513 0.6692 0.3946
O: 0.2102 0.2102 0.4922
O: 0.2651 0.7840 0.5863
O: 0.3380 0.3380 0.6922
O: 0.4525 0.9525 0.8021
O: 0.4912 0.9743 0.0190
O: 0.5696 0.0428 0.2067
O: 0.6692 0.1513 0.3946
O: 0.7840 0.2651 0.5863
O: 0.9423 0.9423 0.9125
O: 0.9525 0.4525 0.8021
O: 0.9743 0.4912 0.0190

## Properties
uncorrected energy = -180.3 eV per cell
formation energy without anion corrections = -186 kJ per mole of atoms



5.
FeBiTeOs2 after structural relaxation, computed with GGA-PBEsol.

Cell lengths 4.9679, 4.9679, 4.7182 Å; angles 90.00, 90.00, 90.00 degrees
Atoms (fractional coordinates):
Fe: 0.0000 0.0000 0.0000
Bi: 0.0000 0.0000 0.5000
Te: 0.5000 0.5000 0.0000
Os: 0.0000 0.5000 0.5000
Os: 0.5000 0.0000 0.5000

## Properties
uncorrected energy = -29.0 eV per cell
formation energy without anion corrections = 236 kJ per mole of atoms



6.
TlFe2BiP after structural relaxation, computed with GGA-PBEsol.

Cell lengths 4.9146, 4.9146, 5.3559 Å; angles 90.00, 90.00, 90.00 degrees
Atoms (fractional coordinates):
Tl: 0.0000 0.0000 0.0000
Fe: 0.0000 0.5000 0.5000
Fe: 0.5000 0.0000 0.5000
Bi: 0.5000 0.5000 0.5000
P: 0.5000 0.5000 0.0000

## Properties
formation energy = 1.43 eV/atom
uncorrected energy = -23.5 eV per cell



7.
FeSiBiPb2 after structural relaxation, computed with GGA-PBEsol.

Cell lengths 4.9812, 4.9812, 4.9946 Å; angles 90.00, 90.00, 90.00 degrees
Atoms (fractional coordinates):
Fe: 0.0000 0.0000 0.0000
Si: 0.5000 0.5000 0.5000
Bi: 0.0000 0.0000 0.5000
Pb: 0.0000 0.5000 0.0000
Pb: 0.5000 0.0000 0.0000

## Properties
uncorrected energy = -23.9 eV per cell
formation energy without anion corrections = 60 kJ per mole of atoms



8.
FeBiS2 after structural relaxation, computed with GGA-PBEsol.

Cell lengths 6.1413, 6.1413, 8.6090 Å; angles 90.00, 90.00, 90.00 degrees
Atoms (fractional coordinates):
Fe: 0.0000 0.0000 0.0000
Fe: 0.0000 0.5000 0.2500
Fe: 0.5000 0.0000 0.7500
Fe: 0.5000 0.5000 0.5000
Bi: 0.0000 0.0000 0.5000
Bi: 0.0000 0.5000 0.7500
Bi: 0.5000 0.0000 0.2500
Bi: 0.5000 0.5000 0.0000
S: 0.1501 0.2500 0.1250
S: 0.2500 0.6501 0.3750
S: 0.2500 0.8499 0.8750
S: 0.3499 0.2500 0.6250
S: 0.6501 0.7500 0.6250
S: 0.7500 0.1501 0.8750
S: 0.7500 0.3499 0.3750
S: 0.8499 0.7500 0.1250

## Properties
uncorrected energy = -90.1 eV per cell
formation energy without anion corrections = -12 kJ per mole of atoms



9.
FeBiS2 after structural relaxation, computed with GGA-PBEsol.

Cell lengths 3.9980, 3.9980, 22.2635 Å; angles 90.00, 90.00, 120.00 degrees
Atoms (fractional coordinates):
Fe: 0.0000 0.0000 0.0000
Fe: 0.3333 0.6667 0.6667
Fe: 0.6667 0.3333 0.3333
Bi: 0.0000 0.0000 0.5000
Bi: 0.3333 0.6667 0.1667
Bi: 0.6667 0.3333 0.8333
S: 0.0000 0.0000 0.0958
S: 0.0000 0.0000 0.9042
S: 0.3333 0.6667 0.5709
S: 0.3333 0.6667 0.7624
S: 0.6667 0.3333 0.2376
S: 0.6667 0.3333 0.4291

## Properties
uncorrected energy = -63.7 eV per cell
formation energy without anion corrections = 19 kJ per mole of atoms



10.
FeBi3Se after structural relaxation, computed with GGA-PBEsol.

Cell lengths 5.4338, 5.4338, 5.4338 Å; angles 90.00, 90.00, 90.00 degrees
Atoms (fractional coordinates):
Fe: 0.0000 0.0000 0.0000
Bi: 0.0000 0.5000 0.5000
Bi: 0.5000 0.0000 0.5000
Bi: 0.5000 0.5000 0.0000
Se: 0.5000 0.5000 0.5000

## Properties
uncorrected energy = -20.0 eV per cell
formation energy without anion corrections = 109 kJ per mole of atoms



11.
FeBi2Se after structural relaxation, computed with GGA-PBEsol.

Cell lengths 6.1666, 6.1666, 12.5750 Å; angles 90.00, 90.00, 90.00 degrees
Atoms (fractional coordinates):
Fe: 0.0000 0.0000 0.0000
Fe: 0.0000 0.5000 0.2500
Fe: 0.5000 0.0000 0.7500
Fe: 0.5000 0.5000 0.5000
Bi: 0.1940 0.2500 0.1250
Bi: 0.2500 0.6940 0.3750
Bi: 0.2500 0.8060 0.8750
Bi: 0.3060 0.2500 0.6250
Bi: 0.6940 0.7500 0.6250
Bi: 0.7500 0.1940 0.8750
Bi: 0.7500 0.3060 0.3750
Bi: 0.8060 0.7500 0.1250
Se: 0.0000 0.0000 0.5000
Se: 0.0000 0.5000 0.7500
Se: 0.5000 0.0000 0.2500
Se: 0.5000 0.5000 0.0000

## Properties
uncorrected energy = -78.2 eV per cell
formation energy without anion corrections = 44 kJ per mole of atoms



12.
FeSi3Bi after structural relaxation, computed with GGA-PBEsol.

Cell lengths 4.4555, 4.4555, 4.4555 Å; angles 90.00, 90.00, 90.00 degrees
Atoms (fractional coordinates):
Fe: 0.0000 0.0000 0.0000
Si: 0.0000 0.0000 0.5000
Si: 0.0000 0.5000 0.0000
Si: 0.5000 0.0000 0.0000
Bi: 0.5000 0.5000 0.5000

## Properties
uncorrected energy = -29.1 eV per cell
formation energy without anion corrections = 27 kJ per mole of atoms



13.
SrFeBi3 after structural relaxation, computed with GGA-PBEsol.

Cell lengths 5.8981, 5.8981, 5.8981 Å; angles 90.00, 90.00, 90.00 degrees
Atoms (fractional coordinates):
Sr: 0.0000 0.0000 0.0000
Fe: 0.5000 0.5000 0.5000
Bi: 0.0000 0.0000 0.5000
Bi: 0.0000 0.5000 0.0000
Bi: 0.5000 0.0000 0.0000

## Properties
formation energy = 1.44 eV/atom
uncorrected energy = -16.5 eV per cell



14.
SrTlFeBi2 after structural relaxation, computed with GGA-PBEsol.

Cell lengths 5.1234, 5.1234, 5.5097 Å; angles 90.00, 90.00, 90.00 degrees
Atoms (fractional coordinates):
Sr: 0.0000 0.0000 0.0000
Tl: 0.5000 0.5000 0.0000
Fe: 0.0000 0.0000 0.5000
Bi: 0.0000 0.5000 0.5000
Bi: 0.5000 0.0000 0.5000

## Properties
formation energy = 0.10 eV/atom
uncorrected energy = -21.5 eV per cell



15.
Fe2Bi2Te after structural relaxation, computed with GGA-PBEsol.

Cell lengths 4.4518, 4.4518, 11.2800 Å; angles 90.00, 90.00, 90.00 degrees
Atoms (fractional coordinates):
Fe: 0.0000 0.0000 0.0979
Fe: 0.0000 0.0000 0.9021
Fe: 0.5000 0.5000 0.4021
Fe: 0.5000 0.5000 0.5979
Bi: 0.0000 0.5000 0.2500
Bi: 0.0000 0.5000 0.7500
Bi: 0.5000 0.0000 0.2500
Bi: 0.5000 0.0000 0.7500
Te: 0.0000 0.0000 0.5000
Te: 0.5000 0.5000 0.0000

## Properties
uncorrected energy = -53.8 eV per cell
formation energy without anion corrections = 60 kJ per mole of atoms



16.
Ti4FeBi2 after structural relaxation, computed with GGA-PBEsol.

Cell lengths 7.7425, 7.7425, 7.7425 Å; angles 95.72, 95.72, 143.19 degrees
Atoms (fractional coordinates):
Ti: 0.0802 0.8079 0.8881
Ti: 0.1921 0.0802 0.2722
Ti: 0.3079 0.5802 0.8881
Ti: 0.4198 0.3079 0.7278
Ti: 0.5802 0.6921 0.2722
Ti: 0.6921 0.4198 0.1119
Ti: 0.8079 0.9198 0.7278
Ti: 0.9198 0.1921 0.1119
Fe: 0.2500 0.2500 0.0000
Fe: 0.7500 0.7500 0.0000
Bi: 0.1385 0.3615 0.5000
Bi: 0.3615 0.8615 0.2231
Bi: 0.6385 0.1385 0.7769
Bi: 0.8615 0.6385 0.5000

## Properties
formation energy = -0.33 eV/atom
uncorrected energy = -106.3 eV per cell



17.
FeBi2W after structural relaxation, computed with GGA-PBEsol.

Cell lengths 6.7572, 6.7572, 6.7572 Å; angles 90.00, 90.00, 90.00 degrees
Atoms (fractional coordinates):
Fe: 0.0000 0.0000 0.0000
Fe: 0.0000 0.5000 0.5000
Fe: 0.5000 0.0000 0.5000
Fe: 0.5000 0.5000 0.0000
Bi: 0.2500 0.2500 0.2500
Bi: 0.2500 0.2500 0.7500
Bi: 0.2500 0.7500 0.2500
Bi: 0.2500 0.7500 0.7500
Bi: 0.7500 0.2500 0.2500
Bi: 0.7500 0.2500 0.7500
Bi: 0.7500 0.7500 0.2500
Bi: 0.7500 0.7500 0.7500
W: 0.0000 0.0000 0.5000
W: 0.0000 0.5000 0.0000
W: 0.5000 0.0000 0.0000
W: 0.5000 0.5000 0.5000

## Properties
formation energy = 0.99 eV/atom
uncorrected energy = -109.6 eV per cell



18.
Y6FeBi2 after structural relaxation, computed with GGA-PBEsol.

Cell lengths 8.2380, 8.2380, 4.1147 Å; angles 90.00, 90.00, 120.00 degrees
Atoms (fractional coordinates):
Y: 0.0000 0.2313 0.0000
Y: 0.0000 0.6052 0.5000
Y: 0.2313 0.0000 0.0000
Y: 0.3948 0.3948 0.5000
Y: 0.6052 0.0000 0.5000
Y: 0.7687 0.7687 0.0000
Fe: 0.0000 0.0000 0.5000
Bi: 0.3333 0.6667 0.0000
Bi: 0.6667 0.3333 0.0000

## Properties
formation energy = -0.47 eV/atom
uncorrected energy = -62.7 eV per cell



19.
Zr6FeBi2 after structural relaxation, computed with GGA-PBEsol.

Cell lengths 7.8544, 7.8544, 3.5984 Å; angles 90.00, 90.00, 120.00 degrees
Atoms (fractional coordinates):
Zr: 0.0000 0.3903 0.0000
Zr: 0.0000 0.7641 0.5000
Zr: 0.2359 0.2359 0.5000
Zr: 0.3903 0.0000 0.0000
Zr: 0.6097 0.6097 0.0000
Zr: 0.7641 0.0000 0.5000
Fe: 0.0000 0.0000 0.0000
Bi: 0.3333 0.6667 0.5000
Bi: 0.6667 0.3333 0.5000

## Properties
formation energy = -0.36 eV/atom
uncorrected energy = -75.3 eV per cell



20.
Ga3Bi after structural relaxation, computed with GGA-PBEsol.

Cell lengths 4.4368, 4.4368, 4.4368 Å; angles 90.00, 90.00, 90.00 degrees
Atoms (fractional coordinates):
Ga: 0.0000 0.0000 0.5000
Ga: 0.0000 0.5000 0.0000
Ga: 0.5000 0.0000 0.0000
Bi: 0.5000 0.5000 0.5000

## Properties
formation energy = 0.09 eV/atom
uncorrected energy = -14.0 eV per cell